Entry 1:
# Hf3SbS8

Hf3SbS8 after structural relaxation (PBE-GGA, the Alexandria database).

Structure (CIF):
```
data_Hf3SbS8
_cell_length_a 12.8020
_cell_length_b 7.3921
_cell_length_c 8.1433
_cell_angle_alpha 90.00
_cell_angle_beta 122.35
_cell_angle_gamma 90.00
_symmetry_space_group_name_H-M 'C 1 2/m 1'
_symmetry_Int_Tables_number 12
loop_
_symmetry_equiv_pos_as_xyz
'x,y,z'
'-x,-y,-z'
'-x,y,-z'
'x,-y,z'
'x+1/2,y+1/2,z'
'-x+1/2,-y+1/2,-z'
'-x+1/2,y+1/2,-z'
'x+1/2,-y+1/2,z'
loop_
_atom_site_label
_atom_site_type_symbol
_atom_site_fract_x
_atom_site_fract_y
_atom_site_fract_z
_atom_site_occupancy
Hf1 Hf 0.0000 0.0000 0.0000 1
Hf2 Hf 0.2500 0.2500 0.0000 1
Sb1 Sb 0.0000 0.5000 0.0000 1
S1 S 0.0134 0.2448 0.7898 1
S2 S 0.2374 0.0000 0.2076 1
S3 S 0.2418 0.5000 0.2103 1
```

Summary:
- uncorrected energy (eV/atom) = -6.786
- magnetization (μB per formula unit) = 0.000

=====

Entry 2:
# La5SmSn2

La5SmSn2 after structural relaxation (PBE-GGA, the Alexandria database).

Structure (CIF):
```
data_La5SmSn2
_cell_length_a 7.1000
_cell_length_b 14.1923
_cell_length_c 4.9907
_cell_angle_alpha 90.00
_cell_angle_beta 90.00
_cell_angle_gamma 90.00
_symmetry_space_group_name_H-M 'P b a m'
_symmetry_Int_Tables_number 55
loop_
_symmetry_equiv_pos_as_xyz
'x,y,z'
'-x,-y,-z'
'-x,-y,z'
'x,y,-z'
'x+1/2,-y+1/2,-z'
'-x+1/2,y+1/2,z'
'-x+1/2,y+1/2,-z'
'x+1/2,-y+1/2,z'
loop_
_atom_site_label
_atom_site_type_symbol
_atom_site_fract_x
_atom_site_fract_y
_atom_site_fract_z
_atom_site_occupancy
La1 La 0.0000 0.0000 0.0000 1
La2 La 0.0076 0.2520 0.0000 1
La3 La 0.2455 0.8747 0.5000 1
Sm1 Sm 0.0000 0.5000 0.0000 1
Sn1 Sn 0.2423 0.6229 0.5000 1
```

Summary:
- uncorrected energy (eV/atom) = -5.150
- formation energy from the elements (kJ/mol of atoms) = -46.3
- magnetization (μB per formula unit) = 0.000

=====

> Which of these has the lowest uncorrected energy?

Hf3SbS8